Entry P
DFT (PBE) results for a geometry-optimized Sn2OsPd structure. Values from VASP.

The structure in Quantum ESPRESSO input format:
```
&SYSTEM
  ibrav = 0, nat = 4, ntyp = 3
/
ATOMIC_SPECIES
Sn 118.71 Sn.upf
Os 190.23 Os.upf
Pd 106.42 Pd.upf
CELL_PARAMETERS angstrom
0.0000 3.3045 3.3045
3.3045 0.0000 3.3045
3.3045 3.3045 0.0000
ATOMIC_POSITIONS angstrom
Sn 1.6522 1.6522 1.6522
Sn 4.9567 4.9567 4.9567
Os 0.0000 0.0000 0.0000
Pd 3.3045 3.3045 3.3045
```

## Properties
Magnetic moment (μB per atom): 0.00
Volume (Å³ per atom): 18.0
Space group: Fm-3m (225)

***

Entry Q
DFT (PBE) results for a geometry-optimized Sn2OsPd structure. Values from VASP.

The structure in Quantum ESPRESSO input format:
```
&SYSTEM
  ibrav = 0, nat = 8, ntyp = 3
/
ATOMIC_SPECIES
Sn 118.71 Sn.upf
Os 190.23 Os.upf
Pd 106.42 Pd.upf
CELL_PARAMETERS angstrom
-3.0148 3.0148 5.9834
3.0148 -3.0148 5.9834
3.0148 3.0148 -5.9834
ATOMIC_POSITIONS angstrom
Sn 4.5221 1.4426 -1.4958
Sn 1.4426 1.5074 1.4958
Sn -1.5074 1.5722 4.4875
Sn 1.5722 1.5074 7.4792
Os 0.0000 0.0000 0.0000
Os 0.0000 3.0148 2.9917
Pd 3.0148 0.0000 2.9917
Pd 0.0000 0.0000 5.9834
```

## Properties
Magnetic moment (μB per atom): 0.00
Volume (Å³ per atom): 27.2
Space group: I-42d (122)

***

Most stable to least stable, the ends of the list are entry P and entry Q.

***

Entry P
DFT (PBE) results for a geometry-optimized Sr2OsPd structure. Values from VASP.

The structure in Quantum ESPRESSO input format:
```
&SYSTEM
  ibrav = 0, nat = 8, ntyp = 3
/
ATOMIC_SPECIES
Sr 87.62 Sr.upf
Os 190.23 Os.upf
Pd 106.42 Pd.upf
CELL_PARAMETERS angstrom
-4.0703 4.0703 3.0859
4.0703 -4.0703 3.0859
4.0703 4.0703 -3.0859
ATOMIC_POSITIONS angstrom
Sr 2.0352 1.9788 -0.7715
Sr 2.0915 -2.0352 3.8574
Sr 2.0352 2.0915 2.3144
Sr 1.9788 6.1055 0.7715
Os 4.0703 0.0000 1.5430
Os 0.0000 0.0000 3.0859
Pd 0.0000 0.0000 0.0000
Pd 0.0000 4.0703 1.5430
```

## Properties
Magnetic moment (μB per atom): 0.30
Volume (Å³ per atom): 25.6
Space group: I-42d (122)

***

Entry Q
DFT (PBE) results for a geometry-optimized Sr2OsPd structure. Values from VASP.

The structure in Quantum ESPRESSO input format:
```
&SYSTEM
  ibrav = 0, nat = 4, ntyp = 3
/
ATOMIC_SPECIES
Sr 87.62 Sr.upf
Os 190.23 Os.upf
Pd 106.42 Pd.upf
CELL_PARAMETERS angstrom
0.0000 3.6562 3.6562
3.6562 0.0000 3.6562
3.6562 3.6562 0.0000
ATOMIC_POSITIONS angstrom
Sr 1.8281 1.8281 1.8281
Sr 5.4843 5.4843 5.4843
Os 0.0000 0.0000 0.0000
Pd 3.6562 3.6562 3.6562
```

## Properties
Magnetic moment (μB per atom): 0.00
Volume (Å³ per atom): 24.4
Space group: Fm-3m (225)

***

Most stable to least stable, the ends of the list are entry Q and entry P.

***

Entry P
DFT (PBE) results for a geometry-optimized Sr2Os2Pd structure. Values from VASP.

The structure in Quantum ESPRESSO input format:
```
&SYSTEM
  ibrav = 0, nat = 5, ntyp = 3
/
ATOMIC_SPECIES
Sr 87.62 Sr.upf
Os 190.23 Os.upf
Pd 106.42 Pd.upf
CELL_PARAMETERS angstrom
-1.7977 1.7977 9.2955
1.7977 -1.7977 9.2955
1.7977 1.7977 -9.2955
ATOMIC_POSITIONS angstrom
Sr 0.0000 0.0000 1.9216
Sr 0.0000 0.0000 16.6694
Os 1.7977 0.0000 4.6477
Os 0.0000 1.7977 4.6477
Pd 0.0000 0.0000 9.2955
```

## Properties
Magnetic moment (μB per atom): 0.00
Volume (Å³ per atom): 24.0
Space group: I4/mmm (139)

***

Entry Q
DFT (PBE) results for a geometry-optimized Sr2Os2Pd structure. Values from VASP.

The structure in Quantum ESPRESSO input format:
```
&SYSTEM
  ibrav = 0, nat = 10, ntyp = 3
/
ATOMIC_SPECIES
Sr 87.62 Sr.upf
Os 190.23 Os.upf
Pd 106.42 Pd.upf
CELL_PARAMETERS angstrom
9.1049 0.0000 0.0000
0.0000 9.1049 0.0000
0.0000 0.0000 3.0016
ATOMIC_POSITIONS angstrom
Sr 1.7890 2.7635 0.0000
Sr 2.7635 7.3159 0.0000
Sr 6.3414 1.7890 0.0000
Sr 7.3159 6.3414 0.0000
Os 0.7957 5.3481 1.5008
Os 3.7568 0.7957 1.5008
Os 5.3481 8.3092 1.5008
Os 8.3092 3.7568 1.5008
Pd 0.0000 0.0000 0.0000
Pd 4.5525 4.5525 0.0000
```

## Properties
Magnetic moment (μB per atom): 0.16
Volume (Å³ per atom): 24.9
Space group: P4/mbm (127)

***

Most stable to least stable, the ends of the list are entry P and entry Q.